[1]
Entry from the Alexandria database: a relaxed structure of LiMgAs2Br (PBEsol).

Computed properties:
Mass density   3.24 Mg/m³
E_tot   -15.3 eV per cell
Density of states at the Fermi level   0.779 states/eV/atom
ΔE_f (raw)   89 meV/atom
Magnetic moment   0.0 μB per formula unit
Space-group type   P4/mmm

Lattice parameters (Å, degrees): 4.922 4.922 5.518 90.00 90.00 90.00
Atoms (fractional coordinates):
Mg 0.000 0.000 0.000
As 0.000 0.500 0.000
As 0.500 0.000 0.000
Li 0.500 0.500 0.500
Br 0.000 0.000 0.500

[2]
Entry from the Alexandria database: a relaxed structure of LiAsPtBr2 (PBEsol).

Computed properties:
Mass density   7.35 Mg/m³
E_tot   -14.8 eV per cell
Density of states at the Fermi level   1.130 states/eV/atom
ΔE_f (raw)   590 meV/atom
Magnetic moment   0.0 μB per formula unit
Space-group type   P4/mmm

Lattice parameters (Å, degrees): 4.554 4.554 4.758 90.00 90.00 90.00
Atoms (fractional coordinates):
Pt 0.500 0.500 0.500
Br 0.000 0.500 0.000
As 0.000 0.000 0.500
Br 0.500 0.000 0.000
Li 0.000 0.000 0.000

> Which value of ΔE_f (raw) does entry 2 give?

590 meV/atom

> Which value of E_tot does entry 2 give?

-14.8 eV per cell

Repeat the first record exactly.
Entry from the Alexandria database: a relaxed structure of LiMgAs2Br (PBEsol).

Computed properties:
Mass density   3.24 Mg/m³
E_tot   -15.3 eV per cell
Density of states at the Fermi level   0.779 states/eV/atom
ΔE_f (raw)   89 meV/atom
Magnetic moment   0.0 μB per formula unit
Space-group type   P4/mmm

Lattice parameters (Å, degrees): 4.922 4.922 5.518 90.00 90.00 90.00
Atoms (fractional coordinates):
Mg 0.000 0.000 0.000
As 0.000 0.500 0.000
As 0.500 0.000 0.000
Li 0.500 0.500 0.500
Br 0.000 0.000 0.500